This record from Alexandria describes crystalline NiAg2Ir2 at its relaxed geometry. The functional is PBE.

Mass density, kg/m3: 12981
E_form, kcal/mol of atoms: 13.57
Energy relative to the lowest polymorph listed for this composition, meV per atom: 0

abc: 6.1717 6.1717 4.4255
angles: 90.00 90.00 90.00
With the nearest neighbours (Å) after each atom.
Element x y z (fractional)
Ag 0.3260 0.1740 0.5000  6 Ir 2.76-2.94, 1 Ag 3.04
Ag 0.8260 0.3260 0.5000  6 Ir 2.76-2.94, 1 Ag 3.04
Ag 0.6740 0.8260 0.5000  6 Ir 2.76-2.94, 1 Ag 3.04
Ag 0.1740 0.6740 0.5000  6 Ir 2.76-2.94, 1 Ag 3.04
Ni 0.5000 0.5000 0.0000  4 Ir 2.39
Ni 0.0000 0.0000 0.0000  4 Ir 2.39
Ir 0.6370 0.1370 0.0000  1 Ir 2.39, 2 Ni 2.39
Ir 0.8630 0.6370 0.0000  1 Ir 2.39, 2 Ni 2.39
Ir 0.1370 0.3630 0.0000  1 Ir 2.39, 2 Ni 2.39
Ir 0.3630 0.8630 0.0000  1 Ir 2.39, 2 Ni 2.39

This record from Alexandria describes crystalline CaNi2IrCl at its relaxed geometry. The functional is PBE.

Mass density, kg/m3: 6108
VASP energy, eV for the cell shown: -16.81

abc: 4.6821 4.7762 4.6821
angles: 90.00 90.00 90.00
With the nearest neighbours (Å) after each atom.
Element x y z (fractional)
Ni 0.0000 0.0000 0.5000  2 Ca 2.34
Ni 0.5000 0.0000 0.0000  2 Ca 2.34
Cl 0.0000 0.5000 0.0000  2 Ca 2.39
Ca 0.0000 0.0000 0.0000  4 Ni 2.34, 2 Cl 2.39
Ir 0.5000 0.5000 0.5000  4 Cl 3.31, 8 Ni 3.34

This record from Alexandria describes crystalline Si2AgCl at its relaxed geometry. The functional is PBE.

Mass density, kg/m3: 4589
Energy relative to the lowest polymorph listed for this composition, meV per atom: 389

abc: 2.8706 5.2640 4.7773
angles: 90.00 90.00 90.00
With the nearest neighbours (Å) after each atom.
Element x y z (fractional)
Ag 0.5000 0.0000 0.5000  4 Si 2.79, 2 Ag 2.87, 4 Cl 3.00
Si 0.5000 0.5000 0.0000  4 Cl 2.79, 6 Si 2.87-3.00
Si 0.0000 0.0000 0.0000  4 Ag 2.79, 6 Si 2.87-3.00
Cl 0.0000 0.5000 0.5000  4 Si 2.79, 2 Cl 2.87, 4 Ag 3.00